*A*
Entry from Alexandria via LeMat-Bulk: a geometry-optimized AcPm8Ho2 structure (PBE-GGA).

a b c (Å): 6.8350 10.5551 10.5551
angles (deg): 37.90 58.12 58.12
With the nearest neighbours (Å) after each atom.
Sites, in units of the cell vectors:
Ac  0.0000  0.0000  0.0000  8 Pm 3.59-3.84
Pm  0.2681  0.4072  0.4072  4 Pm 3.35-3.72, 1 Ho 3.57
Pm  0.8139  0.2383  0.2383  5 Pm 3.30-3.56, 4 Ho 3.40-3.58
Pm  0.2401  0.3609  0.8237  3 Pm 3.17-3.40, 1 Ho 3.48
Pm  0.7319  0.5928  0.5928  4 Pm 3.35-3.72, 1 Ho 3.57
Pm  0.7599  0.6391  0.1763  3 Pm 3.17-3.40, 1 Ho 3.48
Pm  0.7599  0.1763  0.6391  3 Pm 3.17-3.40, 1 Ho 3.48
Ho  0.3628  0.2123  0.2123  7 Pm 3.40-3.58
Pm  0.1860  0.7617  0.7617  5 Pm 3.30-3.56, 4 Ho 3.40-3.58
Ho  0.6372  0.7877  0.7877  7 Pm 3.40-3.58
Pm  0.2401  0.8237  0.3609  3 Pm 3.17-3.40, 1 Ho 3.48

Properties
- mass density (g/cm3) = 7.3



*B*
Entry from Alexandria via LeMat-Bulk: a geometry-optimized AcPm8Ho2 structure (PBE-GGA).

a b c (Å): 5.6218 8.5166 9.5581
angles (deg): 116.46 107.10 90.00
With the nearest neighbours (Å) after each atom.
Sites, in units of the cell vectors:
Ho  0.7998  0.2999  0.5997  10 Pm 3.41-3.66
Pm  0.1610  0.1610  0.3220  8 Pm 3.57-3.79, 2 Ho 3.60, 2 Ac 3.83
Pm  0.6454  0.4431  0.2909  3 Ho 3.41-3.56, 6 Pm 3.45-3.79, 1 Ac 3.46
Ho  0.2002  0.7001  0.4003  10 Pm 3.41-3.66
Pm  0.8390  0.8390  0.6780  8 Pm 3.57-3.79, 2 Ho 3.60, 2 Ac 3.83
Pm  0.6454  0.8478  0.2909  3 Ho 3.41-3.56, 6 Pm 3.45-3.79, 1 Ac 3.46
Pm  0.0000  0.7018  0.0000  7 Pm 3.44-3.66, 2 Ho 3.66, 2 Ac 3.79
Ac  0.5000  0.0000  0.0000  12 Pm 3.46-3.83
Pm  0.0000  0.2982  0.0000  7 Pm 3.44-3.66, 2 Ho 3.66, 2 Ac 3.79
Pm  0.3546  0.1522  0.7091  3 Ho 3.41-3.56, 6 Pm 3.45-3.79, 1 Ac 3.46
Pm  0.3546  0.5569  0.7091  3 Ho 3.41-3.56, 6 Pm 3.45-3.79, 1 Ac 3.46

Properties
- mass density (g/cm3) = 7.4



*B* is the most stable structure; the next one sits 41 meV per atom above it.



*A*
Entry from Alexandria via LeMat-Bulk: a geometry-optimized AcPr4Ho structure (PBE-GGA).

a b c (Å): 3.5797 5.8870 10.7099
angles (deg): 90.00 90.06 90.00
With the nearest neighbours (Å) after each atom.
Sites, in units of the cell vectors:
Ho  0.4974  0.5013  0.0019  8 Pr 3.52-3.66, 2 Ho 3.58
Pr  0.4972  0.0013  0.1825  2 Ho 3.52, 7 Pr 3.58-3.87, 2 Ac 3.85-3.87
Pr  0.9991  0.5013  0.2993  6 Pr 3.58-3.67, 2 Ho 3.65, 2 Ac 3.66
Pr  0.4980  0.0013  0.8212  2 Ho 3.52, 7 Pr 3.58-3.87, 2 Ac 3.86-3.87
Pr  0.9981  0.5013  0.7044  6 Pr 3.58-3.67, 2 Ho 3.65-3.66, 2 Ac 3.66
Ac  0.9940  0.0013  0.5018  2 Ac 3.58, 8 Pr 3.66-3.87

Properties
- mass density (g/cm3) = 7.0



*B*
Entry from Alexandria via LeMat-Bulk: a geometry-optimized AcPr4Ho structure (PBE-GGA).

a b c (Å): 6.9945 6.9945 11.9100
angles (deg): 90.00 90.00 117.98
With the nearest neighbours (Å) after each atom.
Sites, in units of the cell vectors:
Pr  0.4942  0.9933  0.7500  2 Ho 3.48-3.51, 2 Ac 3.49-3.51, 2 Pr 3.60
Ho  0.5027  0.5027  0.2500  8 Pr 3.43-3.51, 2 Ac 3.60-3.61
Pr  0.7399  0.7399  0.0003  2 Ho 3.43-3.46, 2 Pr 3.46-3.75, 2 Ac 3.51-3.52
Pr  0.2601  0.2601  0.9997  2 Ho 3.43-3.46, 2 Pr 3.46-3.75, 2 Ac 3.51-3.52
Ac  0.0022  0.0022  0.2500  8 Pr 3.49-3.52, 2 Ho 3.60-3.61
Pr  0.7399  0.7399  0.4997  2 Ho 3.43-3.46, 2 Pr 3.46-3.75, 2 Ac 3.51-3.52
Ac  0.9978  0.9978  0.7500  8 Pr 3.49-3.52, 2 Ho 3.60-3.61
Pr  0.0067  0.5058  0.2500  2 Ho 3.48-3.51, 2 Ac 3.49-3.51, 2 Pr 3.60
Ho  0.4973  0.4973  0.7500  8 Pr 3.43-3.51, 2 Ac 3.60-3.61
Pr  0.2601  0.2601  0.5003  2 Ho 3.43-3.46, 2 Pr 3.46-3.75, 2 Ac 3.51-3.52
Pr  0.5058  0.0067  0.2500  2 Ho 3.48-3.51, 2 Ac 3.49-3.51, 2 Pr 3.60
Pr  0.9933  0.4942  0.7500  2 Ho 3.48-3.51, 2 Ac 3.49-3.51, 2 Pr 3.60

Properties
- mass density (g/cm3) = 6.2



*A* is the most stable structure; the next one sits 307 meV per atom above it.